A plane-wave DFT calculation with PBE-GGA was carried out for a relaxed structure of Pr2Sm.

a = 3.690 Å, b = 3.690 Å, c = 15.652 Å
α = 90.00°, β = 90.00°, γ = 90.00°
Positions (direct):
Pr: 0.000 0.000 0.165
Pr: 0.000 0.000 0.835
Pr: 0.500 0.500 0.335
Pr: 0.500 0.500 0.665
Sm: 0.000 0.000 0.500
Sm: 0.500 0.500 0.000

- DOS at the Fermi energy (states/eV per cell) = 9.5
- formation energy from the elements (eV per atom) = 0.0161
- theoretical density (g/cm3) = 6.7
- total energy (eV/atom) = -4.743
- spin magnetization (μB per atom) = 0.000
- space-group type = I4/mmm (139)